Here is an optimized crystal structure of TlCr4Br from Alexandria via LeMat-Bulk. Energies are from GGA-PBE.

Summary:
**Symmetry**: F-43m, No. 216
**V**: 15.3 A^3/atom
**DOS(E_F)**: 5.04 states/eV/cell
**Raw formation energy**: 0.962 eV per atom

Unit cell a=5.065 b=5.065 c=5.065 alpha=60.00 beta=60.00 gamma=60.00
Element x y z (fractional)
Tl (0.250, 0.250, 0.250)
Cr (0.631, 0.631, 0.107)
Cr (0.631, 0.107, 0.631)
Cr (0.631, 0.631, 0.631)
Cr (0.107, 0.631, 0.631)
Br (0.000, 0.000, 0.000)

=====

Here is an optimized crystal structure of Tl2CrBr from Alexandria via LeMat-Bulk. Energies are from GGA-PBE.

Summary:
**Polymorph energy (0 for the lowest one)**: 0.75 eV/f.u.
**Symmetry**: I4/mmm, No. 139
**V**: 27.4 A^3/atom
**DOS(E_F)**: 1.36 states/eV/cell
**Raw formation energy**: 0.257 eV per atom

Unit cell a=6.260 b=6.260 c=6.260 alpha=137.77 beta=137.77 gamma=61.26
Element x y z (fractional)
Br (0.250, 0.750, 0.500)
Cr (0.750, 0.250, 0.500)
Tl (0.000, 0.000, 0.000)
Tl (0.500, 0.500, 0.000)

=====

Here is an optimized crystal structure of Tl2CrBr from Alexandria via LeMat-Bulk. Energies are from GGA-PBE.

Summary:
**Polymorph energy (0 for the lowest one)**: 1.12 eV/f.u.
**Symmetry**: F-43m, No. 216
**V**: 27.9 A^3/atom
**DOS(E_F)**: 2.47 states/eV/cell
**Raw formation energy**: 0.349 eV per atom

Unit cell a=5.401 b=5.401 c=5.401 alpha=60.00 beta=60.00 gamma=60.00
Element x y z (fractional)
Br (0.500, 0.500, 0.500)
Cr (0.750, 0.750, 0.750)
Tl (0.000, 0.000, 0.000)
Tl (0.250, 0.250, 0.250)

=====

Here is an optimized crystal structure of Tl2CrBr from Alexandria via LeMat-Bulk. Energies are from GGA-PBE.

Summary:
**Polymorph energy (0 for the lowest one)**: 0.69 eV/f.u.
**Symmetry**: I-4m2, No. 119
**V**: 28.5 A^3/atom
**DOS(E_F)**: 0.92 states/eV/cell
**Raw formation energy**: 0.242 eV per atom

Unit cell a=6.408 b=6.408 c=6.408 alpha=138.60 beta=138.60 gamma=59.98
Element x y z (fractional)
Br (0.500, 0.500, 0.000)
Cr (0.750, 0.250, 0.500)
Tl (0.000, 0.000, 0.000)
Tl (0.250, 0.750, 0.500)

=====

Here is an optimized crystal structure of Tl2CrBr4 from Alexandria via LeMat-Bulk. Energies are from GGA-PBE.

Summary:
**Polymorph energy (0 for the lowest one)**: 0.00 eV/f.u.
**Symmetry**: I4/mmm, No. 139
**V**: 32.9 A^3/atom
**DOS(E_F)**: 0.25 states/eV/cell
**Raw formation energy**: -0.758 eV per atom

Unit cell a=5.298 b=5.298 c=9.010 alpha=72.90 beta=72.90 gamma=90.00
Element x y z (fractional)
Cr (0.000, 0.000, 0.000)
Tl (0.639, 0.639, 0.723)
Tl (0.361, 0.361, 0.277)
Br (0.842, 0.842, 0.316)
Br (0.158, 0.158, 0.684)
Br (0.000, 0.500, 0.000)
Br (0.500, 0.000, 0.000)

=====

Here is an optimized crystal structure of Tl2CrBr6 from Alexandria via LeMat-Bulk. Energies are from GGA-PBE.

Summary:
**Polymorph energy (0 for the lowest one)**: 0.00 eV/f.u.
**Symmetry**: Fm-3m, No. 225
**V**: 30.9 A^3/atom
**DOS(E_F)**: 12.21 states/eV/cell
**Raw formation energy**: -0.691 eV per atom

Unit cell a=7.325 b=7.325 c=7.325 alpha=60.00 beta=60.00 gamma=60.00
Element x y z (fractional)
Tl (0.250, 0.250, 0.250)
Tl (0.750, 0.750, 0.750)
Cr (0.000, 0.000, 0.000)
Br (0.239, 0.761, 0.761)
Br (0.239, 0.761, 0.239)
Br (0.761, 0.239, 0.761)
Br (0.761, 0.239, 0.239)
Br (0.761, 0.761, 0.239)
Br (0.239, 0.239, 0.761)

=====

Here is an optimized crystal structure of UTl2CrBr8 from Alexandria via LeMat-Bulk. Energies are from GGA-PBE.

Summary:
**Symmetry**: P-1, No. 2
**V**: 37.4 A^3/atom
**DOS(E_F)**: 9.31 states/eV/cell
**Raw formation energy**: -0.983 eV per atom

Unit cell a=8.407 b=7.194 c=8.192 alpha=76.41 beta=101.39 gamma=110.19
Element x y z (fractional)
U (0.000, 0.000, 0.500)
Tl (0.639, 0.399, 0.821)
Tl (0.361, 0.601, 0.179)
Cr (0.000, 0.000, 0.000)
Br (0.044, 0.743, 0.314)
Br (0.684, 0.812, 0.964)
Br (0.942, 0.234, 0.168)
Br (0.956, 0.257, 0.686)
Br (0.316, 0.188, 0.036)
Br (0.058, 0.766, 0.832)
Br (0.654, 0.785, 0.488)
Br (0.346, 0.215, 0.512)

=====

Here is an optimized crystal structure of YTlCrBr6 from Alexandria via LeMat-Bulk. Energies are from GGA-PBE.

Summary:
**Symmetry**: P312, No. 149
**V**: 35.8 A^3/atom
**DOS(E_F)**: 6.25 states/eV/cell
**Raw formation energy**: -1.220 eV per atom

Unit cell a=7.106 b=7.106 c=7.360 alpha=90.01 beta=89.99 gamma=59.98
Element x y z (fractional)
Y (0.333, 0.333, 0.500)
Tl (0.000, 0.000, 0.000)
Cr (0.667, 0.667, 0.500)
Br (0.985, 0.378, 0.286)
Br (0.378, 0.985, 0.714)
Br (0.637, 0.378, 0.714)
Br (0.985, 0.637, 0.714)
Br (0.378, 0.637, 0.286)
Br (0.637, 0.985, 0.286)

=====

What is the V in the third record?
27.9 A^3/atom